## SiAg2 (PBE)

Data for a relaxed SiAg2 crystal.

Results
ΔE to the lowest computed polymorph ... 32 meV per atom
Fermi-level density of states ... 1.16 states/eV/cell
SG ... I4/mmm
Energy relative to the elements, uncorrected ... 0.734 eV per formula unit

a = 2.8601 Å, b = 2.8601 Å, c = 12.5703 Å
α = 90.00°, β = 90.00°, γ = 90.00°
Atoms (fractional coordinates):
Si  0.0000  0.0000  0.0000
Si  0.5000  0.5000  0.5000
Ag  0.0000  0.0000  0.3383
Ag  0.0000  0.0000  0.6617
Ag  0.5000  0.5000  0.1617
Ag  0.5000  0.5000  0.8383

## SiAg (PBE)

Data for a relaxed SiAg crystal.

Results
ΔE to the lowest computed polymorph ... 172 meV per atom
Fermi-level density of states ... 2.66 states/eV/cell
SG ... I4_1/amd
Energy relative to the elements, uncorrected ... 0.789 eV per formula unit

a = 4.0526 Å, b = 4.0526 Å, c = 8.2029 Å
α = 90.00°, β = 90.00°, γ = 90.00°
Atoms (fractional coordinates):
Si  0.0000  0.2500  0.3750
Si  0.0000  0.7500  0.6250
Si  0.5000  0.2500  0.1250
Si  0.5000  0.7500  0.8750
Ag  0.0000  0.2500  0.8750
Ag  0.0000  0.7500  0.1250
Ag  0.5000  0.2500  0.6250
Ag  0.5000  0.7500  0.3750

## SiAg2 (PBE)

Data for a relaxed SiAg2 crystal.

Results
ΔE to the lowest computed polymorph ... 29 meV per atom
Fermi-level density of states ... 3.73 states/eV/cell
SG ... Cm
Energy relative to the elements, uncorrected ... 0.722 eV per formula unit

a = 10.4304 Å, b = 2.9758 Å, c = 6.7310 Å
α = 90.00°, β = 98.56°, γ = 90.00°
Atoms (fractional coordinates):
Si  0.0000  0.0000  0.0000
Si  0.2135  0.5000  0.4095
Si  0.5000  0.5000  0.0000
Si  0.7135  0.0000  0.4095
Ag  0.1369  0.5000  0.7714
Ag  0.2864  0.0000  0.1149
Ag  0.3628  0.0000  0.6956
Ag  0.4941  0.5000  0.3917
Ag  0.6369  0.0000  0.7714
Ag  0.7864  0.5000  0.1149
Ag  0.8628  0.5000  0.6956
Ag  0.9941  0.0000  0.3917

## SiAg3 (PBE)

Data for a relaxed SiAg3 crystal.

Results
Fermi-level density of states ... 3.68 states/eV/cell
SG ... R-3m
Energy relative to the elements, uncorrected ... 0.629 eV per formula unit

a = 2.9379 Å, b = 2.9379 Å, c = 27.6196 Å
α = 90.00°, β = 90.00°, γ = 120.00°
Atoms (fractional coordinates):
Si  0.0000  0.0000  0.0000
Si  0.3333  0.6667  0.6667
Si  0.6667  0.3333  0.3333
Ag  0.0000  0.0000  0.2544
Ag  0.0000  0.0000  0.5000
Ag  0.0000  0.0000  0.7456
Ag  0.3333  0.6667  0.1667
Ag  0.3333  0.6667  0.4123
Ag  0.3333  0.6667  0.9211
Ag  0.6667  0.3333  0.0789
Ag  0.6667  0.3333  0.5877
Ag  0.6667  0.3333  0.8333

## Si5Ag (PBE)

Data for a relaxed Si5Ag crystal.

Results
ΔE to the lowest computed polymorph ... 59 meV per atom
Fermi-level density of states ... 2.64 states/eV/cell
SG ... Amm2
Energy relative to the elements, uncorrected ... 2.655 eV per formula unit

a = 4.3868 Å, b = 2.8064 Å, c = 16.1763 Å
α = 90.00°, β = 90.00°, γ = 90.00°
Atoms (fractional coordinates):
Si  0.0000  0.0000  0.0000
Si  0.0000  0.0000  0.2634
Si  0.0000  0.0000  0.6311
Si  0.0000  0.5000  0.1311
Si  0.0000  0.5000  0.5000
Si  0.0000  0.5000  0.7634
Si  0.5000  0.0000  0.1604
Si  0.5000  0.0000  0.7989
Si  0.5000  0.5000  0.2989
Si  0.5000  0.5000  0.6604
Ag  0.5000  0.0000  0.4465
Ag  0.5000  0.5000  0.9465

## SiAg3 (PBE)

Data for a relaxed SiAg3 crystal.

Results
Fermi-level density of states ... 2.21 states/eV/cell
SG ... Imm2
Energy relative to the elements, uncorrected ... 0.722 eV per formula unit

a = 2.9540 Å, b = 9.1217 Å, c = 5.1085 Å
α = 90.00°, β = 90.00°, γ = 90.00°
Atoms (fractional coordinates):
Si  0.0000  0.0000  0.0000
Si  0.5000  0.5000  0.5000
Ag  0.0000  0.2684  0.3352
Ag  0.0000  0.5000  0.9562
Ag  0.0000  0.7316  0.3352
Ag  0.5000  0.0000  0.4562
Ag  0.5000  0.2316  0.8352
Ag  0.5000  0.7684  0.8352

## SiAg (PBE)

Data for a relaxed SiAg crystal.

Results
ΔE to the lowest computed polymorph ... 193 meV per atom
Fermi-level density of states ... 2.12 states/eV/cell
SG ... Cmcm
Energy relative to the elements, uncorrected ... 0.830 eV per formula unit

a = 2.9197 Å, b = 10.7757 Å, c = 4.3775 Å
α = 90.00°, β = 90.00°, γ = 90.00°
Atoms (fractional coordinates):
Si  0.0000  0.1628  0.2500
Si  0.0000  0.8372  0.7500
Si  0.5000  0.3372  0.7500
Si  0.5000  0.6628  0.2500
Ag  0.0000  0.4102  0.2500
Ag  0.0000  0.5898  0.7500
Ag  0.5000  0.0898  0.7500
Ag  0.5000  0.9102  0.2500

## SiAg2 (PBE)

Data for a relaxed SiAg2 crystal.

Results
ΔE to the lowest computed polymorph ... 216 meV per atom
Fermi-level density of states ... 3.47 states/eV/cell
SG ... Cmcm
Energy relative to the elements, uncorrected ... 1.283 eV per formula unit

a = 5.7954 Å, b = 5.7954 Å, c = 7.2176 Å
α = 90.00°, β = 90.00°, γ = 101.88°
Atoms (fractional coordinates):
Si  0.2182  0.7818  0.5898
Si  0.2182  0.7818  0.9102
Si  0.7818  0.2182  0.0898
Si  0.7818  0.2182  0.4102
Ag  0.1949  0.2079  0.2500
Ag  0.2079  0.1949  0.7500
Ag  0.2649  0.7351  0.2500
Ag  0.5000  0.5000  0.0000
Ag  0.5000  0.5000  0.5000
Ag  0.7351  0.2649  0.7500
Ag  0.7921  0.8051  0.2500
Ag  0.8051  0.7921  0.7500

## SiAg (PBE)

Data for a relaxed SiAg crystal.

Results
ΔE to the lowest computed polymorph ... 81 meV per atom
Fermi-level density of states ... 3.18 states/eV/cell
SG ... R-3m
Energy relative to the elements, uncorrected ... 0.606 eV per formula unit

a = 3.7220 Å, b = 3.7220 Å, c = 19.2390 Å
α = 90.00°, β = 90.00°, γ = 120.00°
Atoms (fractional coordinates):
Si  0.0000  0.0000  0.1414
Si  0.0000  0.0000  0.8586
Si  0.3333  0.6667  0.5253
Si  0.3333  0.6667  0.8080
Si  0.6667  0.3333  0.1920
Si  0.6667  0.3333  0.4747
Ag  0.0000  0.0000  0.2842
Ag  0.0000  0.0000  0.7158
Ag  0.3333  0.6667  0.3825
Ag  0.3333  0.6667  0.9508
Ag  0.6667  0.3333  0.0492
Ag  0.6667  0.3333  0.6175

## Si3Ag (PBE)

Data for a relaxed Si3Ag crystal.

Results
ΔE to the lowest computed polymorph ... 205 meV per atom
Fermi-level density of states ... 3.72 states/eV/cell
SG ... Cmmm
Energy relative to the elements, uncorrected ... 1.961 eV per formula unit

a = 3.2036 Å, b = 4.4627 Å, c = 8.9234 Å
α = 90.00°, β = 90.00°, γ = 90.00°
Atoms (fractional coordinates):
Si  0.0000  0.0000  0.0000
Si  0.0000  0.5000  0.2296
Si  0.0000  0.5000  0.7704
Si  0.5000  0.0000  0.2296
Si  0.5000  0.0000  0.7704
Si  0.5000  0.5000  0.0000
Ag  0.0000  0.0000  0.5000
Ag  0.5000  0.5000  0.5000

## SiAg3 (PBE)

Data for a relaxed SiAg3 crystal.

Results
Fermi-level density of states ... 0.83 states/eV/cell
SG ... P-6m2
Energy relative to the elements, uncorrected ... 0.715 eV per formula unit

a = 2.9128 Å, b = 2.9128 Å, c = 9.3644 Å
α = 90.00°, β = 90.00°, γ = 120.00°
Atoms (fractional coordinates):
Si  0.0000  0.0000  0.0000
Ag  0.0000  0.0000  0.5000
Ag  0.3333  0.6667  0.2396
Ag  0.3333  0.6667  0.7604

## SiAg (PBE)

Data for a relaxed SiAg crystal.

Results
ΔE to the lowest computed polymorph ... 169 meV per atom
Fermi-level density of states ... 0.74 states/eV/cell
SG ... P4/mmm
Energy relative to the elements, uncorrected ... 0.781 eV per formula unit

a = 2.8337 Å, b = 2.8337 Å, c = 4.2086 Å
α = 90.00°, β = 90.00°, γ = 90.00°
Atoms (fractional coordinates):
Si  0.0000  0.0000  0.0000
Ag  0.5000  0.5000  0.5000

## SiAg (PBE)

Data for a relaxed SiAg crystal.

Results
ΔE to the lowest computed polymorph ... 81 meV per atom
Fermi-level density of states ... 0.78 states/eV/cell
SG ... P2_1/m
Energy relative to the elements, uncorrected ... 0.607 eV per formula unit

a = 2.8386 Å, b = 4.9220 Å, c = 5.0992 Å
α = 90.00°, β = 105.81°, γ = 90.00°
Atoms (fractional coordinates):
Si  0.0480  0.2500  0.0931
Si  0.9520  0.7500  0.9069
Ag  0.2212  0.7500  0.4414
Ag  0.7788  0.2500  0.5586

## Si8Ag (PBE)

Data for a relaxed Si8Ag crystal.

Results
Fermi-level density of states ... 2.02 states/eV/cell
SG ... I4/mmm
Energy relative to the elements, uncorrected ... 4.780 eV per formula unit

a = 6.2210 Å, b = 6.2210 Å, c = 6.2210 Å
α = 95.81°, β = 95.81°, γ = 142.88°
Atoms (fractional coordinates):
Si  0.0000  0.3433  0.3433
Si  0.0000  0.6567  0.6567
Si  0.3259  0.3259  0.6517
Si  0.3259  0.6741  0.0000
Si  0.3433  0.0000  0.3433
Si  0.6567  0.0000  0.6567
Si  0.6741  0.3259  0.0000
Si  0.6741  0.6741  0.3483
Ag  0.0000  0.0000  0.0000

## SiAg2 (PBE)

Data for a relaxed SiAg2 crystal.

Results
ΔE to the lowest computed polymorph ... 37 meV per atom
Fermi-level density of states ... 3.20 states/eV/cell
SG ... Pnma
Energy relative to the elements, uncorrected ... 0.747 eV per formula unit

a = 5.4182 Å, b = 4.5000 Å, c = 8.4434 Å
α = 90.00°, β = 90.00°, γ = 90.00°
Atoms (fractional coordinates):
Si  0.2089  0.2500  0.1776
Si  0.2911  0.7500  0.6776
Si  0.7089  0.2500  0.3224
Si  0.7911  0.7500  0.8224
Ag  0.1275  0.2500  0.8344
Ag  0.1642  0.2500  0.4960
Ag  0.3358  0.7500  0.9960
Ag  0.3725  0.7500  0.3344
Ag  0.6275  0.2500  0.6656
Ag  0.6642  0.2500  0.0040
Ag  0.8358  0.7500  0.5040
Ag  0.8725  0.7500  0.1656

## Si7Ag (PBE)

Data for a relaxed Si7Ag crystal.

Results
Fermi-level density of states ... 4.20 states/eV/cell
SG ... Fm-3m
Energy relative to the elements, uncorrected ... 4.542 eV per formula unit

a = 5.6058 Å, b = 5.6058 Å, c = 5.6058 Å
α = 60.00°, β = 60.00°, γ = 60.00°
Atoms (fractional coordinates):
Si  0.0000  0.0000  0.0000
Si  0.0000  0.0000  0.5000
Si  0.0000  0.5000  0.0000
Si  0.0000  0.5000  0.5000
Si  0.5000  0.0000  0.0000
Si  0.5000  0.0000  0.5000
Si  0.5000  0.5000  0.0000
Ag  0.5000  0.5000  0.5000

## SiAg (PBE)

Data for a relaxed SiAg crystal.

Results
ΔE to the lowest computed polymorph ... 107 meV per atom
Fermi-level density of states ... 2.17 states/eV/cell
SG ... Cmme
Energy relative to the elements, uncorrected ... 0.658 eV per formula unit

a = 3.5245 Å, b = 4.5164 Å, c = 8.3827 Å
α = 90.00°, β = 90.00°, γ = 90.00°
Atoms (fractional coordinates):
Si  0.0000  0.2500  0.1096
Si  0.0000  0.7500  0.8904
Si  0.5000  0.2500  0.8904
Si  0.5000  0.7500  0.1096
Ag  0.0000  0.2500  0.6367
Ag  0.0000  0.7500  0.3633
Ag  0.5000  0.2500  0.3633
Ag  0.5000  0.7500  0.6367

## Si5Ag (PBE)

Data for a relaxed Si5Ag crystal.

Results
ΔE to the lowest computed polymorph ... 90 meV per atom
Fermi-level density of states ... 3.57 states/eV/cell
SG ... C2/m
Energy relative to the elements, uncorrected ... 2.842 eV per formula unit

a = 10.6965 Å, b = 2.6985 Å, c = 6.9017 Å
α = 90.00°, β = 110.62°, γ = 90.00°
Atoms (fractional coordinates):
Si  0.0000  0.0000  0.0000
Si  0.1605  0.5000  0.8458
Si  0.1878  0.5000  0.3257
Si  0.3122  0.0000  0.6743
Si  0.3395  0.0000  0.1542
Si  0.5000  0.5000  0.0000
Si  0.6605  0.0000  0.8458
Si  0.6878  0.0000  0.3257
Si  0.8122  0.5000  0.6743
Si  0.8395  0.5000  0.1542
Ag  0.0000  0.0000  0.5000
Ag  0.5000  0.5000  0.5000

## SiAg3 (PBE)

Data for a relaxed SiAg3 crystal.

Results
Fermi-level density of states ... 1.10 states/eV/cell
SG ... Pmmm
Energy relative to the elements, uncorrected ... 0.761 eV per formula unit

a = 2.9370 Å, b = 4.0271 Å, c = 5.8331 Å
α = 90.00°, β = 90.00°, γ = 90.00°
Atoms (fractional coordinates):
Si  0.0000  0.0000  0.0000
Ag  0.0000  0.0000  0.5000
Ag  0.5000  0.5000  0.2421
Ag  0.5000  0.5000  0.7579

## Si3Ag (PBE)

Data for a relaxed Si3Ag crystal.

Results
ΔE to the lowest computed polymorph ... 240 meV per atom
Fermi-level density of states ... 0.40 states/eV/cell
SG ... Pm-3m
Energy relative to the elements, uncorrected ... 2.103 eV per formula unit

a = 4.0233 Å, b = 4.0233 Å, c = 4.0233 Å
α = 90.00°, β = 90.00°, γ = 90.00°
Atoms (fractional coordinates):
Si  0.0000  0.0000  0.5000
Si  0.0000  0.5000  0.0000
Si  0.5000  0.0000  0.0000
Ag  0.5000  0.5000  0.5000

Respective magnetization values: 0.000 0.000 0.000 0.000 0.000 0.000 0.000 0.000 0.000 0.000 0.000 0.000 0.000 0.000 0.000 0.000 0.000 0.000 0.000 0.000 μB/atom.